# KMn, optimized geometry, DFT PBE
# - volume (Å³ per atom) = 66.137
# - excess energy over the best structure of this formula in the dataset (meV/atom) = 909
# - ρ (Mg/m³) = 1.18
# - electronic total energy (eV per atom) = -3.479
# - Fermi-level density of states (states/eV/atom) = 2.8501
# - energy of formation (eV/atom) = 1.65
data_KMn
_chemical_formula_sum 'K1 Mn1'
_cell_length_a 5.719
_cell_length_b 5.719
_cell_length_c 5.719
_cell_angle_alpha 60.00
_cell_angle_beta 60.00
_cell_angle_gamma 60.00
_space_group_name_H-M_alt 'P 1'
_space_group_IT_number 1
_space_group_name_Hall 'P 1'
loop_
_atom_site_label
_atom_site_type_symbol
_atom_site_fract_x
_atom_site_fract_y
_atom_site_fract_z
K1 K 0.000 0.000 0.000
Mn1 Mn 0.250 0.250 0.250